Entry 1:
Here is a relaxed Na4Tm3BiS8 crystal from Alexandria via LeMat-Bulk. Energies are from GGA-PBE.

Properties
Spin magnetization in μB/f.u.: 0.00
Final energy in eV per cell: -80.799
Symmetry: R-3m

```
Na4Tm3BiS8
1.0
3.9730 2.2938 6.6936
-3.9730 2.2938 6.6936
0.0000 -4.5877 6.6936
Na Tm Bi S
4 3 1 8
direct
0.0000 0.0000 0.0000
0.0000 0.5000 0.5000
0.5000 0.0000 0.5000
0.5000 0.5000 0.0000
0.0000 0.0000 0.5000
0.0000 0.5000 0.0000
0.5000 0.0000 0.0000
0.5000 0.5000 0.5000
0.2329 0.7474 0.7474
0.2408 0.2408 0.2408
0.2526 0.2526 0.7671
0.2526 0.7671 0.2526
0.7474 0.2329 0.7474
0.7474 0.7474 0.2329
0.7592 0.7592 0.7592
0.7671 0.2526 0.2526
```

Entry 2:
Here is a relaxed Na2UBiS6 crystal from Alexandria via LeMat-Bulk. Energies are from GGA-PBE.

Properties
Spin magnetization in μB/f.u.: 0.00
Final energy in eV per cell: -50.500
Symmetry: R3

```
Na2UBiS6
1.0
3.5094 2.0262 6.0694
-3.5094 2.0262 6.0694
0.0000 -4.0524 6.0694
Na U Bi S
2 1 1 6
direct
0.0000 0.0000 0.0000
0.4959 0.4959 0.4959
0.7034 0.7034 0.7034
0.2064 0.2064 0.2064
0.0567 0.4532 0.8277
0.3490 0.9277 0.5812
0.4532 0.8277 0.0567
0.5812 0.3490 0.9277
0.8277 0.0567 0.4532
0.9277 0.5812 0.3490
```

Entry 3:
Here is a relaxed NaBiWS2 crystal from Alexandria via LeMat-Bulk. Energies are from GGA-PBE.

Properties
Spin magnetization in μB/f.u.: 4.21
Final energy in eV per cell: -20.707
Symmetry: P4/mmm

```
NaBiWS2
1.0
5.4658 0.0000 0.0000
0.0000 5.4658 0.0000
0.0000 0.0000 5.4251
Na Bi W S
1 1 1 2
direct
0.0000 0.0000 0.0000
0.5000 0.5000 0.5000
0.5000 0.5000 0.0000
0.0000 0.5000 0.5000
0.5000 0.0000 0.5000
```

Entry 4:
Here is a relaxed NaY4BiS8 crystal from Alexandria via LeMat-Bulk. Energies are from GGA-PBE.

Properties
Spin magnetization in μB/f.u.: 0.00
Final energy in eV per cell: -87.360
Symmetry: R3m

```
NaY4BiS8
1.0
4.0634 2.3460 6.7162
-4.0634 2.3460 6.7162
0.0000 -4.6920 6.7162
Na Y Bi S
1 4 1 8
direct
0.0000 0.0000 0.0000
0.3668 0.3668 0.8797
0.3668 0.8797 0.3668
0.7454 0.7454 0.7454
0.8797 0.3668 0.3668
0.3614 0.3614 0.3614
0.1278 0.1278 0.5900
0.1278 0.5900 0.1278
0.1337 0.1337 0.1337
0.1408 0.6199 0.6199
0.5900 0.1278 0.1278
0.6126 0.6126 0.6126
0.6199 0.1408 0.6199
0.6199 0.6199 0.1408
```

Entry 5:
Here is a relaxed Na4Y3BiS8 crystal from Alexandria via LeMat-Bulk. Energies are from GGA-PBE.

Properties
Spin magnetization in μB/f.u.: 0.00
Final energy in eV per cell: -86.778
Symmetry: R-3m

```
Na4Y3BiS8
1.0
4.0157 2.3185 6.7010
-4.0157 2.3185 6.7010
0.0000 -4.6369 6.7010
Na Y Bi S
4 3 1 8
direct
0.0000 0.0000 0.0000
0.0000 0.5000 0.5000
0.5000 0.0000 0.5000
0.5000 0.5000 0.0000
0.0000 0.0000 0.5000
0.0000 0.5000 0.0000
0.5000 0.0000 0.0000
0.5000 0.5000 0.5000
0.2370 0.7465 0.7465
0.2419 0.2419 0.2419
0.2535 0.2535 0.7630
0.2535 0.7630 0.2535
0.7465 0.2370 0.7465
0.7465 0.7465 0.2370
0.7581 0.7581 0.7581
0.7630 0.2535 0.2535
```

Entry 6:
Here is a relaxed Na2ZnBiS4 crystal from Alexandria via LeMat-Bulk. Energies are from GGA-PBE.

Properties
Spin magnetization in μB/f.u.: 0.00
Final energy in eV per cell: -58.507
Symmetry: C2/c

```
Na2ZnBiS4
1.0
5.5138 -5.5581 0.0000
5.5138 5.5581 0.0000
-5.4302 0.0000 5.6159
Na Zn Bi S
4 2 2 8
direct
0.0000 0.0000 0.0000
0.0000 0.0000 0.5000
0.0000 0.5000 0.0000
0.5000 0.0000 0.5000
0.5000 0.5000 0.0000
0.5000 0.5000 0.5000
0.0000 0.5000 0.5000
0.5000 0.0000 0.0000
0.2579 0.7369 0.9942
0.2631 0.7421 0.5058
0.2753 0.2847 0.5114
0.2847 0.2753 0.0114
0.7153 0.7247 0.9886
0.7247 0.7153 0.4886
0.7369 0.2579 0.4942
0.7421 0.2631 0.0058
```

Entry 7:
Here is a relaxed Na2ZrBiS4 crystal from Alexandria via LeMat-Bulk. Energies are from GGA-PBE.

Properties
Spin magnetization in μB/f.u.: 0.73
Final energy in eV per cell: -39.983
Symmetry: P2/m

```
Na2ZrBiS4
1.0
6.9690 0.0000 0.0000
0.0000 3.8480 0.0000
-2.2090 0.0000 6.7261
Na Zr Bi S
2 1 1 4
direct
0.0000 0.0000 0.0000
0.5000 0.5000 0.0000
0.0000 0.5000 0.5000
0.5000 0.0000 0.5000
0.2300 0.0000 0.7225
0.2364 0.5000 0.2693
0.7636 0.5000 0.7307
0.7700 0.0000 0.2775
```

Entry 8:
Here is a relaxed Na2BiSb crystal from Alexandria via LeMat-Bulk. Energies are from GGA-PBE.

Properties
Spin magnetization in μB/f.u.: 0.00
Energy relative to the lowest polymorph listed for this composition in eV/atom: 0.006
Final energy in eV per cell: -11.847
Symmetry: Pm

```
Na2BiSb
1.0
5.9202 0.0000 0.0000
0.0000 3.3960 0.0000
-2.1200 0.0000 5.5482
Na Bi Sb
2 1 1
direct
0.0000 0.0000 0.0000
0.4861 0.0000 0.5137
0.9786 0.5000 0.4925
0.5020 0.5000 0.0156
```

Entry 9:
Here is a relaxed NaBi2Sb2 crystal from Alexandria via LeMat-Bulk. Energies are from GGA-PBE.

Properties
Spin magnetization in μB/f.u.: 0.00
Energy relative to the lowest polymorph listed for this composition in eV/atom: 0.007
Final energy in eV per cell: -17.342
Symmetry: I4/mmm

```
NaBi2Sb2
1.0
-2.9522 2.9522 5.2465
2.9522 -2.9522 5.2465
2.9522 2.9522 -5.2465
Na Bi Sb
1 2 2
direct
0.0000 0.0000 0.0000
0.3470 0.3470 0.0000
0.6530 0.6530 0.0000
0.2500 0.7500 0.5000
0.7500 0.2500 0.5000
```

Entry 10:
Here is a relaxed Na2BiSb crystal from Alexandria via LeMat-Bulk. Energies are from GGA-PBE.

Properties
Spin magnetization in μB/f.u.: 0.00
Energy relative to the lowest polymorph listed for this composition in eV/atom: 0.095
Final energy in eV per cell: -11.489
Symmetry: Fm-3m

```
Na2BiSb
1.0
0.0000 3.8093 3.8093
3.8093 0.0000 3.8093
3.8093 3.8093 0.0000
Na Bi Sb
2 1 1
direct
0.2500 0.2500 0.2500
0.7500 0.7500 0.7500
0.0000 0.0000 0.0000
0.5000 0.5000 0.5000
```

Entry 11:
Here is a relaxed Na2BiSb crystal from Alexandria via LeMat-Bulk. Energies are from GGA-PBE.

Properties
Spin magnetization in μB/f.u.: 0.00
Energy relative to the lowest polymorph listed for this composition in eV/atom: 0.088
Final energy in eV per cell: -11.518
Symmetry: R-3m

```
Na2BiSb
1.0
1.7622 1.0174 10.4375
-1.7622 1.0174 10.4375
0.0000 -2.0348 10.4375
Na Bi Sb
2 1 1
direct
0.2478 0.2478 0.2478
0.7522 0.7522 0.7522
0.0000 0.0000 0.0000
0.5000 0.5000 0.5000
```

Entry 12:
Here is a relaxed Na3BiSb crystal from Alexandria via LeMat-Bulk. Energies are from GGA-PBE.

Properties
Spin magnetization in μB/f.u.: 0.00
Energy relative to the lowest polymorph listed for this composition in eV/atom: 0.000
Final energy in eV per cell: -27.087
Symmetry: P2_1/m

```
Na3BiSb
1.0
6.6205 0.0000 0.0000
0.0000 5.1936 0.0000
-0.0010 0.0000 8.9995
Na Bi Sb
6 2 2
direct
0.2363 0.2500 0.0579
0.2366 0.2500 0.4418
0.2481 0.7500 0.7494
0.7519 0.2500 0.2506
0.7634 0.7500 0.5582
0.7637 0.7500 0.9421
0.4696 0.7500 0.2500
0.5304 0.2500 0.7500
0.0214 0.7500 0.2501
0.9786 0.2500 0.7499
```

Entry 13:
Here is a relaxed Na8Bi2Sb crystal from Alexandria via LeMat-Bulk. Energies are from GGA-PBE.

Properties
Spin magnetization in μB/f.u.: 0.00
Energy relative to the lowest polymorph listed for this composition in eV/atom: 0.010
Final energy in eV per cell: -26.226
Symmetry: P1

```
Na8Bi2Sb
1.0
5.2483 0.0000 0.0000
-0.0010 7.9373 0.0000
-2.6208 -3.9645 8.1160
Na Bi Sb
8 2 1
direct
0.0000 0.0000 0.0000
0.0351 0.5252 0.0718
0.2367 0.3935 0.4751
0.3384 0.8646 0.6791
0.4421 0.6000 0.8856
0.6432 0.1325 0.2865
0.6784 0.6784 0.3587
0.8366 0.1873 0.6791
0.1792 0.9448 0.3588
0.4991 0.2653 0.9993
0.8390 0.5989 0.6797
```

Entry 14:
Here is a relaxed NaBiSb crystal from Alexandria via LeMat-Bulk. Energies are from GGA-PBE.

Properties
Spin magnetization in μB/f.u.: 0.00
Energy relative to the lowest polymorph listed for this composition in eV/atom: 0.116
Final energy in eV per cell: -9.437
Symmetry: I4mm

```
NaBiSb
1.0
-1.6476 1.6476 8.7762
1.6476 -1.6476 8.7762
1.6476 1.6476 -8.7762
Na Bi Sb
1 1 1
direct
0.0000 0.0000 0.0000
0.3535 0.3535 0.0000
0.1789 0.1789 0.0000
```

Entry 15:
Here is a relaxed Na6BiSb2 crystal from Alexandria via LeMat-Bulk. Energies are from GGA-PBE.

Properties
Spin magnetization in μB/f.u.: 0.00
Energy relative to the lowest polymorph listed for this composition in eV/atom: 0.042
Final energy in eV per cell: -44.986
Symmetry: P2_1/c

```
Na6BiSb2
1.0
8.5426 0.0000 0.0000
0.0000 7.7932 0.0000
-6.5856 0.0000 8.6452
Na Bi Sb
12 2 4
direct
0.0094 0.1461 0.3170
0.0094 0.3539 0.8170
0.2969 0.6742 0.0669
0.2969 0.8258 0.5669
0.4101 0.1218 0.0651
0.4101 0.3782 0.5651
0.5899 0.6218 0.4349
0.5899 0.8782 0.9349
0.7031 0.1742 0.4331
0.7031 0.3258 0.9331
0.9906 0.6461 0.1830
0.9906 0.8539 0.6830
0.0000 0.0000 0.0000
0.0000 0.5000 0.5000
0.2558 0.1649 0.7182
0.2558 0.3351 0.2182
0.7442 0.6649 0.7818
0.7442 0.8351 0.2818
```

Entry 16:
Here is a relaxed NaBi2Sb crystal from Alexandria via LeMat-Bulk. Energies are from GGA-PBE.

Properties
Spin magnetization in μB/f.u.: 0.00
Final energy in eV per cell: -13.197
Symmetry: P4/mmm

```
NaBi2Sb
1.0
4.1825 0.0000 0.0000
0.0000 4.1825 0.0000
0.0000 0.0000 6.9263
Na Bi Sb
1 2 1
direct
0.0000 0.0000 0.0000
0.5000 0.5000 0.2639
0.5000 0.5000 0.7361
0.0000 0.0000 0.5000
```

Entry 17:
Here is a relaxed NaBi2Sb2 crystal from Alexandria via LeMat-Bulk. Energies are from GGA-PBE.

Properties
Spin magnetization in μB/f.u.: 0.00
Energy relative to the lowest polymorph listed for this composition in eV/atom: 0.048
Final energy in eV per cell: -17.136
Symmetry: I4/mmm

```
NaBi2Sb2
1.0
-2.3190 2.3190 7.8642
2.3190 -2.3190 7.8642
2.3190 2.3190 -7.8642
Na Bi Sb
1 2 2
direct
0.0000 0.0000 0.0000
0.2500 0.7500 0.5000
0.7500 0.2500 0.5000
0.4090 0.4090 0.0000
0.5910 0.5910 0.0000
```

Entry 18:
Here is a relaxed Na2Bi2Sb crystal from Alexandria via LeMat-Bulk. Energies are from GGA-PBE.

Properties
Spin magnetization in μB/f.u.: 0.00
Energy relative to the lowest polymorph listed for this composition in eV/atom: 0.000
Final energy in eV per cell: -30.819
Symmetry: C2/m

```
Na2Bi2Sb
1.0
6.1274 -2.6930 0.0000
6.1274 2.6930 0.0000
-3.7717 0.0000 9.9512
Na Bi Sb
4 4 2
direct
0.0057 0.0057 0.3251
0.1605 0.1605 0.0764
0.8395 0.8395 0.9236
0.9943 0.9943 0.6749
0.3591 0.3591 0.4190
0.4546 0.4546 0.1230
0.5454 0.5454 0.8770
0.6409 0.6409 0.5810
0.2952 0.2952 0.6726
0.7048 0.7048 0.3274
```

Entry 19:
Here is a relaxed Na8Bi2Sb crystal from Alexandria via LeMat-Bulk. Energies are from GGA-PBE.

Properties
Spin magnetization in μB/f.u.: 0.00
Energy relative to the lowest polymorph listed for this composition in eV/atom: 0.000
Final energy in eV per cell: -26.334
Symmetry: C2/m

```
Na8Bi2Sb
1.0
8.8431 -2.6603 0.0000
8.8431 2.6603 0.0000
-3.3957 0.0000 6.9712
Na Bi Sb
8 2 1
direct
0.0002 0.0002 0.2275
0.9998 0.9998 0.7725
0.1688 0.1688 0.6698
0.3501 0.3501 0.0826
0.3496 0.3496 0.6167
0.6504 0.6504 0.3833
0.6499 0.6499 0.9174
0.8312 0.8312 0.3302
0.1822 0.1822 0.1819
0.8178 0.8178 0.8181
0.5000 0.5000 0.5000
```

Entry 20:
Here is a relaxed NaBi3Sb3 crystal from Alexandria via LeMat-Bulk. Energies are from GGA-PBE.

Properties
Spin magnetization in μB/f.u.: 0.00
Final energy in eV per cell: -47.657
Symmetry: Pm-3n

```
NaBi3Sb3
1.0
8.6961 0.0000 0.0000
0.0000 8.6961 0.0000
0.0000 0.0000 8.6961
Na Bi Sb
2 6 6
direct
0.0000 0.0000 0.0000
0.5000 0.5000 0.5000
0.0000 0.2500 0.5000
0.0000 0.7500 0.5000
0.2500 0.5000 0.0000
0.5000 0.0000 0.2500
0.5000 0.0000 0.7500
0.7500 0.5000 0.0000
0.0000 0.5000 0.2500
0.0000 0.5000 0.7500
0.2500 0.0000 0.5000
0.5000 0.2500 0.0000
0.5000 0.7500 0.0000
0.7500 0.0000 0.5000
```

Entry 21:
Here is a relaxed Na5Bi4Sb crystal from Alexandria via LeMat-Bulk. Energies are from GGA-PBE.

Properties
Spin magnetization in μB/f.u.: 0.00
Final energy in eV per cell: -29.267
Symmetry: P4/mmm

```
Na5Bi4Sb
1.0
3.4151 0.0000 0.0000
0.0000 3.4151 0.0000
0.0000 0.0000 24.5355
Na Bi Sb
5 4 1
direct
0.0000 0.0000 0.0000
0.0000 0.0000 0.2015
0.0000 0.0000 0.4055
0.0000 0.0000 0.5945
0.0000 0.0000 0.7985
0.5000 0.5000 0.1007
0.5000 0.5000 0.3024
0.5000 0.5000 0.6976
0.5000 0.5000 0.8993
0.5000 0.5000 0.5000
```

Entry 22:
Here is a relaxed NaBiSb crystal from Alexandria via LeMat-Bulk. Energies are from GGA-PBE.

Properties
Spin magnetization in μB/f.u.: 0.00
Energy relative to the lowest polymorph listed for this composition in eV/atom: 0.033
Final energy in eV per cell: -19.372
Symmetry: P2_1/m

```
NaBiSb
1.0
6.1470 0.0000 0.0000
0.0000 4.3655 0.0000
-1.0525 0.0000 7.9306
Na Bi Sb
2 2 2
direct
0.2379 0.2500 0.3448
0.7621 0.7500 0.6552
0.2061 0.7500 0.9528
0.7939 0.2500 0.0472
0.3704 0.2500 0.7467
0.6296 0.7500 0.2533
```

Entry 23:
Here is a relaxed Na4Bi3Sb crystal from Alexandria via LeMat-Bulk. Energies are from GGA-PBE.

Properties
Spin magnetization in μB/f.u.: 0.00
Final energy in eV per cell: -22.960
Symmetry: Pmm2

```
Na4Bi3Sb
1.0
4.3920 0.0000 0.0000
0.0000 5.1238 0.0000
0.0000 0.0000 11.7032
Na Bi Sb
4 3 1
direct
0.0000 0.0000 0.0000
0.0000 0.5000 0.4818
0.5000 0.0000 0.7468
0.5000 0.5000 0.2386
0.0000 0.5000 0.7673
0.5000 0.0000 0.4583
0.5000 0.5000 0.9526
0.0000 0.0000 0.2800
```

Calculated values (eV per atom) of energy relative to the elements, uncorrected for the records, taken in order: -1.5755, -0.7928, 1.1401, -1.6632, -1.5756, -0.6188, -1.0508, -0.3015, -0.0033, -0.2120, -0.2192, -0.3166, -0.3445, -0.0382, -0.2725, 0.0016, 0.0380, -0.1774, -0.3543, 0.2144, -0.3026, -0.1212, -0.2399.